A plane-wave DFT calculation with GGA-PBE was carried out for a relaxed Hf3Cu5H12 crystal.

```
Hf3Cu5H12
1.0
-5.516 5.516 5.516
5.516 -5.516 5.516
5.516 5.516 -5.516
Hf Cu H
12 20 48
Direct
0.125 0.250 0.375
0.125 0.375 0.750
0.250 0.375 0.125
0.250 0.875 0.625
0.375 0.125 0.250
0.375 0.750 0.125
0.625 0.250 0.875
0.625 0.875 0.750
0.750 0.125 0.375
0.750 0.625 0.875
0.875 0.625 0.250
0.875 0.750 0.625
0.000 0.000 0.000
0.000 0.000 0.500
0.000 0.500 0.000
0.000 0.500 0.500
0.125 0.750 0.875
0.125 0.875 0.250
0.250 0.125 0.875
0.250 0.625 0.375
0.375 0.250 0.625
0.375 0.625 0.750
0.500 0.000 0.000
0.500 0.000 0.500
0.500 0.500 0.000
0.500 0.500 0.500
0.625 0.375 0.250
0.625 0.750 0.375
0.750 0.375 0.625
0.750 0.875 0.125
0.875 0.125 0.750
0.875 0.250 0.125
0.043 0.221 0.133
0.043 0.322 0.910
0.088 0.721 0.678
0.088 0.867 0.410
0.090 0.633 0.412
0.090 0.957 0.678
0.133 0.043 0.221
0.133 0.590 0.912
0.178 0.221 0.588
0.178 0.457 0.590
0.221 0.133 0.043
0.221 0.588 0.178
0.279 0.322 0.912
0.279 0.457 0.367
0.322 0.910 0.043
0.322 0.912 0.279
0.367 0.279 0.457
0.367 0.588 0.910
0.410 0.088 0.867
0.410 0.822 0.543
0.412 0.090 0.633
0.412 0.822 0.779
0.457 0.367 0.279
0.457 0.590 0.178
0.543 0.410 0.822
0.543 0.633 0.721
0.588 0.178 0.221
0.588 0.910 0.367
0.590 0.178 0.457
0.590 0.912 0.133
0.633 0.412 0.090
0.633 0.721 0.543
0.678 0.088 0.721
0.678 0.090 0.957
0.721 0.543 0.633
0.721 0.678 0.088
0.779 0.412 0.822
0.779 0.867 0.957
0.822 0.543 0.410
0.822 0.779 0.412
0.867 0.410 0.088
0.867 0.957 0.779
0.910 0.043 0.322
0.910 0.367 0.588
0.912 0.133 0.590
0.912 0.279 0.322
0.957 0.678 0.090
0.957 0.779 0.867
```

Results
DFT total energy	-4.602	eV per atom
total magnetic moment	0.0	μB/cell



A plane-wave DFT calculation with GGA-PBE was carried out for a relaxed Hf3CuH crystal.

```
Hf3CuH
1.0
4.312 0.000 0.000
0.000 4.312 0.000
0.000 0.000 4.312
Hf Cu H
3 1 1
Direct
0.000 0.000 0.500
0.000 0.500 0.000
0.500 0.000 0.000
0.500 0.500 0.500
0.000 0.000 0.000
```

Results
DFT total energy	-7.527	eV per atom
total magnetic moment	0.0	μB/cell



A plane-wave DFT calculation with GGA-PBE was carried out for a relaxed Hf2CuHgH crystal.

```
Hf2CuHgH
1.0
4.362 0.000 0.000
0.000 4.362 0.000
0.000 0.000 4.080
Hf Cu Hg H
2 1 1 1
Direct
0.000 0.500 0.000
0.500 0.000 0.000
0.000 0.000 0.500
0.500 0.500 0.500
0.000 0.000 0.000
```

Results
DFT total energy	-5.635	eV per atom
total magnetic moment	0.0	μB/cell



A plane-wave DFT calculation with GGA-PBE was carried out for a relaxed HfInCu2H crystal.

```
HfInCu2H
1.0
4.246 0.000 0.000
0.000 4.246 0.000
0.000 0.000 3.906
Hf In Cu H
1 1 2 1
Direct
0.000 0.000 0.000
0.500 0.500 0.000
0.000 0.500 0.500
0.500 0.000 0.500
0.000 0.000 0.500
```

Results
DFT total energy	-4.897	eV per atom
total magnetic moment	0.0	μB/cell